## Na3VCr2O6 (PBE+U)

Data for crystalline Na3VCr2O6 at its relaxed geometry.

Unit cell a=5.274 b=9.215 c=5.660 alpha=90.00 beta=108.11 gamma=90.00
Space group C2/m (No. 12)
Symmetry-distinct sites (fractional):
1 Na 0.000 0.000 0.000 (multiplicity 2)
2 Na 0.000 0.333 0.000 (multiplicity 4)
3 V 0.000 0.500 0.500 (multiplicity 2)
4 Cr 0.000 0.167 0.500 (multiplicity 4)
5 O 0.233 0.000 0.698 (multiplicity 4)
6 O 0.234 0.331 0.699 (multiplicity 8)

Calculated values
Fermi-level density of states ... 0.0 states/eV/cell
Total magnetic moment ... 8.0 μB per formula unit
Theoretical density ... 4.06 g cm⁻³
V ... 261 Å³/cell
VASP energy ... -6.614 eV/atom